Entry 1:
A relaxed structure of BaSr2Hg9, computed with PBE-GGA. Values from VASP.

Calculated values
* DFT formation energy: -453.5 kJ/mol of formula units
* crystal system: tetragonal
* total magnetic moment: 0.0000 μB/atom

Cell and atoms, written as Quantum ESPRESSO input:
```
&SYSTEM
  ibrav = 0, nat = 12, ntyp = 3
/
ATOMIC_SPECIES
Sr 87.62 Sr.upf
Ba 137.33 Ba.upf
Hg 200.59 Hg.upf
CELL_PARAMETERS angstrom
4.9157 0.0000 0.0000
0.0000 4.9157 0.0000
0.0000 0.0000 14.8549
ATOMIC_POSITIONS angstrom
Sr 0.0000 0.0000 5.0132
Ba 0.0000 0.0000 0.0000
Hg 2.4579 2.4579 0.0000
Sr 0.0000 0.0000 9.8417
Hg 2.4579 0.0000 2.5981
Hg 2.4579 2.4579 5.0964
Hg 2.4579 0.0000 12.2568
Hg 2.4579 2.4579 9.7585
Hg 0.0000 2.4579 7.4275
Hg 2.4579 0.0000 7.4275
Hg 0.0000 2.4579 2.5981
Hg 0.0000 2.4579 12.2568
```


Entry 2:
A relaxed structure of CsSrV2Ge, computed with PBE-GGA. Values from VASP.

Calculated values
* DFT formation energy: 458.7 kJ/mol of formula units
* crystal system: tetragonal
* total magnetic moment: 1.3146 μB/atom

Cell and atoms, written as Quantum ESPRESSO input:
```
&SYSTEM
  ibrav = 0, nat = 5, ntyp = 4
/
ATOMIC_SPECIES
Sr 87.62 Sr.upf
Ge 72.64 Ge.upf
Cs 132.91 Cs.upf
V 50.94 V.upf
CELL_PARAMETERS angstrom
5.0732 0.0000 0.0000
0.0000 6.4347 0.0000
0.0000 0.0000 5.0732
ATOMIC_POSITIONS angstrom
Sr 2.5366 3.2173 2.5366
Ge 0.0000 0.0000 0.0000
Cs 0.0000 3.2173 0.0000
V 2.5366 0.0000 0.0000
V 0.0000 0.0000 2.5366
```


Entry 3:
A relaxed structure of Tb6PmNd2Mg, computed with PBE-GGA. Values from VASP.

Calculated values
* DFT formation energy: 99.4 kJ/mol of formula units
* crystal system: monoclinic
* total magnetic moment: 0.0000 μB/atom

Cell and atoms, written as Quantum ESPRESSO input:
```
&SYSTEM
  ibrav = 0, nat = 20, ntyp = 4
/
ATOMIC_SPECIES
Tb 158.93 Tb.upf
Nd 144.24 Nd.upf
Mg 24.30 Mg.upf
Pm 145.00 Pm.upf
CELL_PARAMETERS angstrom
6.5884 -0.7660 -0.7950
1.6106 10.3735 -3.4200
1.6106 -3.8021 10.2396
ATOMIC_POSITIONS angstrom
Tb 5.8002 -1.8201 4.9083
Nd 7.4396 2.1638 -0.0880
Mg 6.5519 5.6509 -0.0192
Tb 8.1979 7.9326 -1.7798
Nd 2.3701 3.6415 6.1125
Tb 2.5059 5.3554 -1.2395
Tb 7.3037 0.4499 7.2641
Mg 3.2577 0.1544 6.0438
Tb 4.0095 7.6254 1.1163
Tb 7.7124 0.5211 3.0517
Nd 4.1454 0.2149 2.5565
Nd 5.6643 5.5903 3.4681
Tb 4.9060 7.4948 -2.2341
Tb 1.6118 -2.1273 7.8044
Tb 5.3915 2.3919 4.9932
Pm 6.5519 -4.2724 9.5429
Pm 3.2577 10.0777 -3.5183
Tb 4.4182 3.4133 1.0314
Tb 4.9037 -1.6895 8.2587
Tb 2.0973 5.2841 2.9728
```


Entry 4:
A relaxed structure of Tl2GaGe, computed with PBE-GGA. Values from VASP.

Calculated values
* DFT formation energy: 165.6 kJ/mol of formula units
* crystal system: tetragonal
* total magnetic moment: 0.0000 μB/atom

Cell and atoms, written as Quantum ESPRESSO input:
```
&SYSTEM
  ibrav = 0, nat = 8, ntyp = 3
/
ATOMIC_SPECIES
Ge 72.64 Ge.upf
Tl 204.38 Tl.upf
Ga 69.72 Ga.upf
CELL_PARAMETERS angstrom
-4.0354 -4.9203 1.1423
1.4643 -2.5388 -5.7627
3.4882 -7.0260 0.3550
ATOMIC_POSITIONS angstrom
Ge -0.9163 -7.8379 -0.4065
Tl 1.3235 -3.9086 -3.3817
Ga -1.2855 -3.7295 -2.3102
Ga 1.8335 -6.6471 -3.8590
Tl 1.6372 -8.0410 -1.4082
Tl 0.3813 -11.8218 -3.8348
Ge 0.0000 0.0000 0.0000
Tl -1.5077 -5.1987 0.0939
```


Entry 5:
A relaxed structure of Li2Dy2HoSi2, computed with PBE-GGA. Values from VASP.

Calculated values
* crystal system: trigonal
* total magnetic moment: 0.0000 μB/atom
* E: -4.46 eV per atom

Cell and atoms, written as Quantum ESPRESSO input:
```
&SYSTEM
  ibrav = 0, nat = 7, ntyp = 4
/
ATOMIC_SPECIES
Si 28.09 Si.upf
Dy 162.50 Dy.upf
Li 6.94 Li.upf
Ho 164.93 Ho.upf
CELL_PARAMETERS angstrom
-4.3748 0.4426 0.2475
-2.6260 -2.9873 -1.8910
-2.3851 -5.5606 6.9678
ATOMIC_POSITIONS angstrom
Si -2.3441 -1.8104 0.9867
Dy -2.3656 -3.7800 4.1280
Si -7.0418 -6.2950 4.3376
Dy -7.0203 -4.3253 1.1963
Li -4.7089 -5.5163 4.9965
Li -4.6770 -2.5891 0.3279
Ho 0.0000 0.0000 0.0000
```


Entry 6:
A relaxed structure of Rb2Mn2NbS6, computed with PBE-GGA. Values from VASP.

Calculated values
* crystal system: monoclinic
* total magnetic moment: 0.2668 μB/atom
* E: -5.84 eV per atom

Cell and atoms, written as Quantum ESPRESSO input:
```
&SYSTEM
  ibrav = 0, nat = 11, ntyp = 4
/
ATOMIC_SPECIES
S 32.06 S.upf
Rb 85.47 Rb.upf
Mn 54.94 Mn.upf
Nb 92.91 Nb.upf
CELL_PARAMETERS angstrom
-0.0817 -0.3633 5.9968
3.0917 -4.0023 -3.2439
5.4433 5.9098 -0.4579
ATOMIC_POSITIONS angstrom
S 4.8977 2.3183 -1.3115
Rb 2.5754 -3.4103 -1.7406
S 3.7752 3.6055 1.9571
Mn 4.7413 0.1820 -0.3511
Nb 2.7217 2.9549 -0.2290
S 5.7744 0.9617 1.6043
S 3.5557 -0.7741 3.6064
S 2.6789 0.5825 0.6906
Rb 0.4346 -0.9553 4.4935
Mn 3.7121 1.3622 2.6460
S 4.6782 -2.0613 0.3378
```